# BaMn2PtSe8

A relaxed structure of BaMn2PtSe8 (PBE, the Alexandria database).

Properties
The formation energy (no corrections) is -464 meV per atom. The total magnetic moment is 3.49 μB/f.u. As for the symmetry: P-3, No. 147. For the total DFT energy (no corrections), the calculation gives -4.979 eV per atom.

```
data_BaMn2PtSe8
_chemical_formula_sum 'Ba1 Mn2 Pt1 Se8'
_cell_length_a 6.1498
_cell_length_b 6.1498
_cell_length_c 9.0104
_cell_angle_alpha 90.00
_cell_angle_beta 90.00
_cell_angle_gamma 120.00
_space_group_name_H-M_alt 'P 1'
_space_group_IT_number 1
_space_group_name_Hall 'P 1'
loop_
_atom_site_label
_atom_site_type_symbol
_atom_site_fract_x
_atom_site_fract_y
_atom_site_fract_z
_atom_site_occupancy
Ba1 Ba 0.0000 0.0000 0.0000 1
Mn1 Mn 0.3333 0.6667 0.7479 1
Mn2 Mn 0.6667 0.3333 0.2521 1
Pt1 Pt 0.0000 0.0000 0.5000 1
Se1 Se 0.0203 0.6796 0.3303 1
Se2 Se 0.3204 0.3406 0.3303 1
Se3 Se 0.3333 0.6667 0.9932 1
Se4 Se 0.3406 0.0203 0.6697 1
Se5 Se 0.6594 0.9797 0.3303 1
Se6 Se 0.6667 0.3333 0.0068 1
Se7 Se 0.6796 0.6594 0.6697 1
Se8 Se 0.9797 0.3204 0.6697 1
```

***

# Zr3HgN

A relaxed structure of Zr3HgN (PBE, the Alexandria database).

Properties
The formation energy (no corrections) is -248 meV per atom. The total magnetic moment is 0.00 μB/f.u. As for the symmetry: P6_3/mmc, No. 194. For the total DFT energy (no corrections), the calculation gives -7.102 eV per atom.

```
data_Zr3HgN
_chemical_formula_sum 'Zr6 Hg2 N2'
_cell_length_a 4.8650
_cell_length_b 4.8650
_cell_length_c 8.9240
_cell_angle_alpha 90.00
_cell_angle_beta 90.00
_cell_angle_gamma 120.00
_space_group_name_H-M_alt 'P 1'
_space_group_IT_number 1
_space_group_name_Hall 'P 1'
loop_
_atom_site_label
_atom_site_type_symbol
_atom_site_fract_x
_atom_site_fract_y
_atom_site_fract_z
_atom_site_occupancy
Zr1 Zr 0.0000 0.0000 0.2500 1
Zr2 Zr 0.0000 0.0000 0.7500 1
Zr3 Zr 0.3333 0.6667 0.0768 1
Zr4 Zr 0.3333 0.6667 0.4232 1
Zr5 Zr 0.6667 0.3333 0.5768 1
Zr6 Zr 0.6667 0.3333 0.9232 1
Hg1 Hg 0.3333 0.6667 0.7500 1
Hg2 Hg 0.6667 0.3333 0.2500 1
N1 N 0.0000 0.0000 0.0000 1
N2 N 0.0000 0.0000 0.5000 1
```

***

# ScCdCo

A relaxed structure of ScCdCo (PBE, the Alexandria database).

Properties
The total magnetic moment is 0.00 μB/f.u. Its formation energy is -0.179 eV/atom. As for the symmetry: C2/m, No. 12. For the total DFT energy (no corrections), the calculation gives -4.963 eV per atom.

```
data_ScCdCo
_chemical_formula_sum 'Sc4 Cd4 Co4'
_cell_length_a 12.7691
_cell_length_b 3.6007
_cell_length_c 4.9035
_cell_angle_alpha 90.00
_cell_angle_beta 101.81
_cell_angle_gamma 90.00
_space_group_name_H-M_alt 'P 1'
_space_group_IT_number 1
_space_group_name_Hall 'P 1'
loop_
_atom_site_label
_atom_site_type_symbol
_atom_site_fract_x
_atom_site_fract_y
_atom_site_fract_z
_atom_site_occupancy
Sc1 Sc 0.1467 0.0000 0.3389 1
Sc2 Sc 0.3533 0.5000 0.6611 1
Sc3 Sc 0.6467 0.5000 0.3389 1
Sc4 Sc 0.8533 0.0000 0.6611 1
Cd1 Cd 0.0691 0.5000 0.7849 1
Cd2 Cd 0.4309 0.0000 0.2151 1
Cd3 Cd 0.5691 0.0000 0.7849 1
Cd4 Cd 0.9309 0.5000 0.2151 1
Co1 Co 0.2332 0.0000 0.8631 1
Co2 Co 0.2668 0.5000 0.1369 1
Co3 Co 0.7332 0.5000 0.8631 1
Co4 Co 0.7668 0.0000 0.1369 1
```

***

# NaCuAu2

A relaxed structure of NaCuAu2 (PBE, the Alexandria database).

Properties
The total magnetic moment is 0.00 μB/f.u. Its formation energy is -0.091 eV/atom. As for the symmetry: R-3m, No. 166. For the total DFT energy (no corrections), the calculation gives -3.084 eV per atom.

```
data_NaCuAu2
_chemical_formula_sum 'Na3 Cu3 Au6'
_cell_length_a 4.5423
_cell_length_b 4.5423
_cell_length_c 14.8525
_cell_angle_alpha 90.00
_cell_angle_beta 90.00
_cell_angle_gamma 120.00
_space_group_name_H-M_alt 'P 1'
_space_group_IT_number 1
_space_group_name_Hall 'P 1'
loop_
_atom_site_label
_atom_site_type_symbol
_atom_site_fract_x
_atom_site_fract_y
_atom_site_fract_z
_atom_site_occupancy
Na1 Na 0.0000 0.0000 0.0000 1
Na2 Na 0.3333 0.6667 0.6667 1
Na3 Na 0.6667 0.3333 0.3333 1
Cu1 Cu 0.0000 0.0000 0.5000 1
Cu2 Cu 0.3333 0.6667 0.1667 1
Cu3 Cu 0.6667 0.3333 0.8333 1
Au1 Au 0.0000 0.0000 0.1962 1
Au2 Au 0.0000 0.0000 0.8038 1
Au3 Au 0.3333 0.6667 0.4705 1
Au4 Au 0.3333 0.6667 0.8629 1
Au5 Au 0.6667 0.3333 0.1371 1
Au6 Au 0.6667 0.3333 0.5295 1
```

***

# TbNpIrAu

A relaxed structure of TbNpIrAu (PBE, the Alexandria database).

Properties
The total magnetic moment is 4.15 μB/f.u. Its formation energy is -0.386 eV/atom. As for the symmetry: F-43m, No. 216. For the total DFT energy (no corrections), the calculation gives -7.813 eV per atom.

```
data_TbNpIrAu
_chemical_formula_sum 'Tb4 Np4 Ir4 Au4'
_cell_length_a 7.0459
_cell_length_b 7.0459
_cell_length_c 7.0459
_cell_angle_alpha 90.00
_cell_angle_beta 90.00
_cell_angle_gamma 90.00
_space_group_name_H-M_alt 'P 1'
_space_group_IT_number 1
_space_group_name_Hall 'P 1'
loop_
_atom_site_label
_atom_site_type_symbol
_atom_site_fract_x
_atom_site_fract_y
_atom_site_fract_z
_atom_site_occupancy
Tb1 Tb 0.0000 0.0000 0.0000 1
Tb2 Tb 0.0000 0.5000 0.5000 1
Tb3 Tb 0.5000 0.0000 0.5000 1
Tb4 Tb 0.5000 0.5000 0.0000 1
Np1 Np 0.0000 0.0000 0.5000 1
Np2 Np 0.0000 0.5000 0.0000 1
Np3 Np 0.5000 0.0000 0.0000 1
Np4 Np 0.5000 0.5000 0.5000 1
Ir1 Ir 0.2500 0.2500 0.2500 1
Ir2 Ir 0.2500 0.7500 0.7500 1
Ir3 Ir 0.7500 0.2500 0.7500 1
Ir4 Ir 0.7500 0.7500 0.2500 1
Au1 Au 0.2500 0.2500 0.7500 1
Au2 Au 0.2500 0.7500 0.2500 1
Au3 Au 0.7500 0.2500 0.2500 1
Au4 Au 0.7500 0.7500 0.7500 1
```

***

# Te2OsRh

A relaxed structure of Te2OsRh (PBE, the Alexandria database).

Properties
The formation energy (no corrections) is 406 meV per atom. The total magnetic moment is 0.00 μB/f.u. As for the symmetry: Imm2, No. 44. For the total DFT energy (no corrections), the calculation gives -5.811 eV per atom.

```
data_Te2OsRh
_chemical_formula_sum 'Te4 Os2 Rh2'
_cell_length_a 3.2167
_cell_length_b 4.0084
_cell_length_c 13.9378
_cell_angle_alpha 90.00
_cell_angle_beta 90.00
_cell_angle_gamma 90.00
_space_group_name_H-M_alt 'P 1'
_space_group_IT_number 1
_space_group_name_Hall 'P 1'
loop_
_atom_site_label
_atom_site_type_symbol
_atom_site_fract_x
_atom_site_fract_y
_atom_site_fract_z
_atom_site_occupancy
Te1 Te 0.0000 0.0000 0.0000 1
Te2 Te 0.0000 0.5000 0.2526 1
Te3 Te 0.5000 0.0000 0.7526 1
Te4 Te 0.5000 0.5000 0.5000 1
Os1 Os 0.0000 0.0000 0.5804 1
Os2 Os 0.5000 0.5000 0.0804 1
Rh1 Rh 0.0000 0.5000 0.7140 1
Rh2 Rh 0.5000 0.0000 0.2140 1
```

***

# Er2ZnGa4Pd3

A relaxed structure of Er2ZnGa4Pd3 (PBE, the Alexandria database).

Properties
The total magnetic moment is 0.00 μB/f.u. Its formation energy is -0.699 eV/atom. As for the symmetry: P-4m2, No. 115. For the total DFT energy (no corrections), the calculation gives -4.508 eV per atom.

```
data_Er2ZnGa4Pd3
_chemical_formula_sum 'Er2 Zn1 Ga4 Pd3'
_cell_length_a 4.0054
_cell_length_b 4.0054
_cell_length_c 11.4768
_cell_angle_alpha 90.00
_cell_angle_beta 90.00
_cell_angle_gamma 90.00
_space_group_name_H-M_alt 'P 1'
_space_group_IT_number 1
_space_group_name_Hall 'P 1'
loop_
_atom_site_label
_atom_site_type_symbol
_atom_site_fract_x
_atom_site_fract_y
_atom_site_fract_z
_atom_site_occupancy
Er1 Er 0.0000 0.5000 0.2480 1
Er2 Er 0.5000 0.0000 0.7520 1
Zn1 Zn 0.0000 0.0000 0.5000 1
Ga1 Ga 0.0000 0.0000 0.0000 1
Ga2 Ga 0.0000 0.5000 0.6392 1
Ga3 Ga 0.5000 0.0000 0.3608 1
Ga4 Ga 0.5000 0.5000 0.0000 1
Pd1 Pd 0.0000 0.5000 0.8557 1
Pd2 Pd 0.5000 0.0000 0.1443 1
Pd3 Pd 0.5000 0.5000 0.5000 1
```

***

# NdSc3Ag4

A relaxed structure of NdSc3Ag4 (PBE, the Alexandria database).

Properties
The total magnetic moment is 0.00 μB/f.u. Its formation energy is -0.240 eV/atom. As for the symmetry: Pmma, No. 51. For the total DFT energy (no corrections), the calculation gives -4.636 eV per atom.

```
data_NdSc3Ag4
_chemical_formula_sum 'Nd2 Sc6 Ag8'
_cell_length_a 9.9156
_cell_length_b 7.1142
_cell_length_c 4.9573
_cell_angle_alpha 90.00
_cell_angle_beta 90.00
_cell_angle_gamma 90.00
_space_group_name_H-M_alt 'P 1'
_space_group_IT_number 1
_space_group_name_Hall 'P 1'
loop_
_atom_site_label
_atom_site_type_symbol
_atom_site_fract_x
_atom_site_fract_y
_atom_site_fract_z
_atom_site_occupancy
Nd1 Nd 0.0000 0.0000 0.0000 1
Nd2 Nd 0.5000 0.0000 0.0000 1
Sc1 Sc 0.0000 0.5000 0.0000 1
Sc2 Sc 0.2500 0.0000 0.4990 1
Sc3 Sc 0.2500 0.5000 0.4983 1
Sc4 Sc 0.5000 0.5000 0.0000 1
Sc5 Sc 0.7500 0.0000 0.5010 1
Sc6 Sc 0.7500 0.5000 0.5017 1
Ag1 Ag 0.0000 0.2734 0.5000 1
Ag2 Ag 0.0000 0.7266 0.5000 1
Ag3 Ag 0.2500 0.2733 0.9977 1
Ag4 Ag 0.2500 0.7267 0.9977 1
Ag5 Ag 0.5000 0.2734 0.5000 1
Ag6 Ag 0.5000 0.7266 0.5000 1
Ag7 Ag 0.7500 0.2733 0.0023 1
Ag8 Ag 0.7500 0.7267 0.0023 1
```

***

# Er2Zn2HgPd5

A relaxed structure of Er2Zn2HgPd5 (PBE, the Alexandria database).

Properties
The total magnetic moment is 0.00 μB/f.u. Its formation energy is -0.660 eV/atom. As for the symmetry: P4/mbm, No. 127. For the total DFT energy (no corrections), the calculation gives -4.454 eV per atom.

```
data_Er2Zn2HgPd5
_chemical_formula_sum 'Er4 Zn4 Hg2 Pd10'
_cell_length_a 9.6555
_cell_length_b 9.6555
_cell_length_c 3.8379
_cell_angle_alpha 90.00
_cell_angle_beta 90.00
_cell_angle_gamma 90.00
_space_group_name_H-M_alt 'P 1'
_space_group_IT_number 1
_space_group_name_Hall 'P 1'
loop_
_atom_site_label
_atom_site_type_symbol
_atom_site_fract_x
_atom_site_fract_y
_atom_site_fract_z
_atom_site_occupancy
Er1 Er 0.1777 0.3223 0.0000 1
Er2 Er 0.3223 0.8223 0.0000 1
Er3 Er 0.6777 0.1777 0.0000 1
Er4 Er 0.8223 0.6777 0.0000 1
Zn1 Zn 0.1189 0.6189 0.0000 1
Zn2 Zn 0.3811 0.1189 0.0000 1
Zn3 Zn 0.6189 0.8811 0.0000 1
Zn4 Zn 0.8811 0.3811 0.0000 1
Hg1 Hg 0.0000 0.0000 0.0000 1
Hg2 Hg 0.5000 0.5000 0.0000 1
Pd1 Pd 0.0000 0.5000 0.5000 1
Pd2 Pd 0.0722 0.7929 0.5000 1
Pd3 Pd 0.2071 0.0722 0.5000 1
Pd4 Pd 0.2929 0.5722 0.5000 1
Pd5 Pd 0.4278 0.2929 0.5000 1
Pd6 Pd 0.5000 0.0000 0.5000 1
Pd7 Pd 0.5722 0.7071 0.5000 1
Pd8 Pd 0.7071 0.4278 0.5000 1
Pd9 Pd 0.7929 0.9278 0.5000 1
Pd10 Pd 0.9278 0.2071 0.5000 1
```

***

# K8Na2Tl

A relaxed structure of K8Na2Tl (PBE, the Alexandria database).

Properties
The total magnetic moment is 0.00 μB/f.u. Its formation energy is 0.006 eV/atom. As for the symmetry: C2/m, No. 12. For the total DFT energy (no corrections), the calculation gives -1.247 eV per atom.

```
data_K8Na2Tl
_chemical_formula_sum 'K8 Na2 Tl1'
_cell_length_a 11.8092
_cell_length_b 11.8092
_cell_length_c 9.0263
_cell_angle_alpha 108.51
_cell_angle_beta 108.51
_cell_angle_gamma 32.67
_space_group_name_H-M_alt 'P 1'
_space_group_IT_number 1
_space_group_name_Hall 'P 1'
loop_
_atom_site_label
_atom_site_type_symbol
_atom_site_fract_x
_atom_site_fract_y
_atom_site_fract_z
_atom_site_occupancy
K1 K 0.0186 0.0186 0.2886 1
K2 K 0.1919 0.1919 0.7642 1
K3 K 0.3478 0.3478 0.5590 1
K4 K 0.4045 0.4045 0.0739 1
K5 K 0.5955 0.5955 0.9261 1
K6 K 0.6522 0.6522 0.4410 1
K7 K 0.8081 0.8081 0.2358 1
K8 K 0.9814 0.9814 0.7114 1
Na1 Na 0.1857 0.1857 0.1998 1
Na2 Na 0.8143 0.8143 0.8002 1
Tl1 Tl 0.5000 0.5000 0.5000 1
```

***

# HoEr8Tm2

A relaxed structure of HoEr8Tm2 (PBE, the Alexandria database).

Properties
The total magnetic moment is 0.00 μB/f.u. Its formation energy is 0.200 eV/atom. As for the symmetry: C2/m, No. 12. For the total DFT energy (no corrections), the calculation gives -4.347 eV per atom.

```
data_HoEr8Tm2
_chemical_formula_sum 'Ho1 Er8 Tm2'
_cell_length_a 9.1160
_cell_length_b 9.1160
_cell_length_c 6.4212
_cell_angle_alpha 108.25
_cell_angle_beta 108.25
_cell_angle_gamma 42.50
_space_group_name_H-M_alt 'P 1'
_space_group_IT_number 1
_space_group_name_Hall 'P 1'
loop_
_atom_site_label
_atom_site_type_symbol
_atom_site_fract_x
_atom_site_fract_y
_atom_site_fract_z
_atom_site_occupancy
Ho1 Ho 0.0000 0.0000 0.0000 1
Er1 Er 0.1382 0.6587 0.3088 1
Er2 Er 0.2096 0.2096 0.3303 1
Er3 Er 0.3413 0.8618 0.6912 1
Er4 Er 0.4392 0.4392 0.7553 1
Er5 Er 0.5608 0.5608 0.2447 1
Er6 Er 0.6587 0.1382 0.3088 1
Er7 Er 0.7904 0.7904 0.6697 1
Er8 Er 0.8618 0.3413 0.6912 1
Tm1 Tm 0.2801 0.2801 0.8954 1
Tm2 Tm 0.7199 0.7199 0.1046 1
```

***

# HfZrH2

A relaxed structure of HfZrH2 (PBE, the Alexandria database).

Properties
The total magnetic moment is 0.00 μB/f.u. As for the symmetry: I-42d, No. 122. For the total DFT energy (no corrections), the calculation gives -6.635 eV per atom.

```
data_HfZrH2
_chemical_formula_sum 'Hf4 Zr4 H8'
_cell_length_a 4.7941
_cell_length_b 4.7941
_cell_length_c 9.0529
_cell_angle_alpha 90.00
_cell_angle_beta 90.00
_cell_angle_gamma 90.00
_space_group_name_H-M_alt 'P 1'
_space_group_IT_number 1
_space_group_name_Hall 'P 1'
loop_
_atom_site_label
_atom_site_type_symbol
_atom_site_fract_x
_atom_site_fract_y
_atom_site_fract_z
_atom_site_occupancy
Hf1 Hf 0.0000 0.0000 0.0000 1
Hf2 Hf 0.0000 0.5000 0.2500 1
Hf3 Hf 0.5000 0.0000 0.7500 1
Hf4 Hf 0.5000 0.5000 0.5000 1
Zr1 Zr 0.0000 0.0000 0.5000 1
Zr2 Zr 0.0000 0.5000 0.7500 1
Zr3 Zr 0.5000 0.0000 0.2500 1
Zr4 Zr 0.5000 0.5000 0.0000 1
H1 H 0.2443 0.2500 0.1250 1
H2 H 0.2500 0.7443 0.3750 1
H3 H 0.2500 0.7557 0.8750 1
H4 H 0.2557 0.2500 0.6250 1
H5 H 0.7443 0.7500 0.6250 1
H6 H 0.7500 0.2443 0.8750 1
H7 H 0.7500 0.2557 0.3750 1
H8 H 0.7557 0.7500 0.1250 1
```

***

Q: total DFT energy (no corrections) of number 8 (NdSc3Ag4)?
A: -4.636 eV per atom

***

Q: Which value of total magnetic moment does entry 10 give?
A: 0.00 μB/f.u.